Material: BaNiOs2O8
Method: DFT, PBE with a Hubbard U
State: relaxed

## Properties
For the total moment, the calculation gives 6.00 μB per cell. The value obtained for the total energy is -6.763 eV per atom.

Cell lengths 5.5173, 5.5173, 7.4613 Å; angles 90.00, 90.00, 120.00 degrees
Last column: nearest neighbours and their distance in Å.
Element x y z (fractional)
O1 0.2566 0.9430 0.6738  1 Os 1.81
O2 0.3333 0.6667 0.9666  1 Os 1.82
O3 0.7434 0.0570 0.3262  1 Os 1.81
O4 0.0570 0.3136 0.6738  1 Os 1.81
O5 0.9430 0.6864 0.3262  1 Os 1.81
O6 0.6667 0.3333 0.0334  1 Os 1.82
O7 0.6864 0.7434 0.6738  1 Os 1.81
O8 0.3136 0.2566 0.3262  1 Os 1.81
Ni1 0.0000 0.0000 0.5000  6 O 2.06
Os1 0.6667 0.3333 0.2771  4 O 1.81-1.82
Os2 0.3333 0.6667 0.7229  4 O 1.81-1.82
Ba1 0.0000 0.0000 0.0000  12 O 2.91-3.20